VASP calculation (PBE) on an optimized crystal structure of GdTmCF2.

Structure (POSCAR):
```
GdTmCF2
1.0
-0.9735 3.2270 -1.3173
-0.8622 -3.0220 -1.7947
-5.4351 -0.3401 3.1837
C F Gd Tm
1 2 1 1
direct
0.0000 0.0000 0.9931
0.6667 0.3333 0.3944
0.3333 0.6667 0.6227
0.3333 0.6667 0.2074
0.6667 0.3333 0.7823
```

Results
ρ = 8.73 Mg/m³
VASP energy = -6.840 eV/atom
magnetic moment = 0.0 μB/cell